1.
VASP calculation (GGA-PBE) on crystalline CdInP at its relaxed geometry.

POSCAR file:
```
CdInP
1.0
4.8917 0.0000 0.0000
0.0000 4.4545 0.0000
-2.3194 0.0000 6.6355
Cd In P
2 2 2
Cartesian
-0.0376 1.1136 3.1221
2.6099 3.3409 3.5135
1.0091 3.3409 0.4557
1.5632 1.1136 6.1798
0.1550 3.3409 4.7349
2.4174 1.1136 1.9006
```

space-group type = P2_1/m, No. 11
E = -2.98 eV/atom



2.
VASP calculation (GGA-PBE) on crystalline Cd3InP at its relaxed geometry.

POSCAR file:
```
Cd3InP
1.0
5.1752 0.0000 0.0000
0.0000 5.1752 0.0000
0.0000 0.0000 5.1752
Cd In P
3 1 1
Cartesian
0.0000 0.0000 2.5876
0.0000 2.5876 0.0000
2.5876 0.0000 0.0000
2.5876 2.5876 2.5876
0.0000 0.0000 0.0000
```

space-group type = Pm-3m, No. 221
E = -1.89 eV/atom



3.
VASP calculation (GGA-PBE) on crystalline CdInP at its relaxed geometry.

POSCAR file:
```
CdInP
1.0
-1.6628 1.6628 5.9507
1.6628 -1.6628 5.9507
1.6628 1.6628 -5.9507
Cd In P
1 1 1
Cartesian
0.0000 0.0000 0.0000
0.0000 0.0000 3.5492
0.0000 0.0000 7.6665
```

space-group type = I4mm, No. 107
E = -2.74 eV/atom



4.
VASP calculation (GGA-PBE) on crystalline Cd2InP at its relaxed geometry.

POSCAR file:
```
Cd2InP
1.0
-4.0973 4.0973 2.8140
4.0973 -4.0973 2.8140
4.0973 4.0973 -2.8140
Cd In P
4 2 2
Cartesian
6.1459 1.5929 -0.7035
1.5929 2.0486 0.7035
-2.0486 2.5043 2.1105
2.5043 2.0486 3.5175
4.0973 0.0000 1.4070
0.0000 0.0000 2.8140
0.0000 0.0000 0.0000
0.0000 4.0973 1.4070
```

space-group type = I-42d, No. 122
E = -2.37 eV/atom



5.
VASP calculation (GGA-PBE) on crystalline Cd2InP2Pd5 at its relaxed geometry.

POSCAR file:
```
Cd2InP2Pd5
1.0
9.8241 0.0000 0.0000
0.0000 9.8241 0.0000
0.0000 0.0000 3.5216
Cd In P Pd
4 2 4 10
Cartesian
1.7092 3.2028 0.0000
3.2028 8.1149 0.0000
6.6213 1.7092 0.0000
8.1149 6.6213 0.0000
0.0000 0.0000 0.0000
4.9120 4.9120 0.0000
1.2461 6.1581 0.0000
3.6659 1.2461 0.0000
6.1581 8.5780 0.0000
8.5780 3.6659 0.0000
0.0000 4.9120 1.7608
0.7408 7.7608 1.7608
2.0633 0.7408 1.7608
2.8488 5.6528 1.7608
4.1713 2.8488 1.7608
4.9120 0.0000 1.7608
5.6528 6.9753 1.7608
6.9753 4.1713 1.7608
7.7608 9.0833 1.7608
9.0833 2.0633 1.7608
```

space-group type = P4/mbm, No. 127
E = -4.45 eV/atom



6.
VASP calculation (GGA-PBE) on crystalline RbCdInP2 at its relaxed geometry.

POSCAR file:
```
RbCdInP2
1.0
7.0401 -2.1818 0.0000
7.0401 2.1818 0.0000
-1.6035 0.0000 9.8023
Rb Cd In P
2 2 2 4
Cartesian
1.9921 0.0000 1.5884
10.4846 0.0000 8.2138
1.5900 0.0000 5.6029
10.8867 0.0000 4.1993
5.8877 0.0000 3.0315
6.5890 0.0000 6.7708
0.3735 0.0000 7.9630
4.3319 0.0000 5.5462
8.1448 0.0000 4.2561
12.1033 0.0000 1.8392
```

space-group type = C2/m, No. 12
E = -3.33 eV/atom